VASP calculation (GGA-PBE) on a geometry-optimized Ac3Mg7Hg4 structure.

Results
- crystal system = monoclinic

Cell lengths 9.2381, 9.2381, 10.2888 Å; angles 122.50, 122.50, 31.14 degrees
Last column: nearest neighbours and their distance in Å.
Positions (direct):
Ac (0.0000, 0.0000, 0.0000)  6 Hg 3.43-3.64, 6 Mg 3.66-3.82
Ac (0.2994, 0.2994, 0.2932)  5 Hg 3.45-3.85, 8 Mg 3.49-3.58
Ac (0.7006, 0.7006, 0.7068)  5 Hg 3.45-3.85, 8 Mg 3.49-3.58
Mg (0.0000, 0.0000, 0.5000)  2 Hg 2.97, 6 Mg 3.18-3.21
Mg (0.1533, 0.1533, 0.4269)  3 Hg 2.91-3.03, 1 Mg 3.21
Mg (0.3310, 0.3310, 0.9816)  4 Hg 2.84-3.06, 1 Mg 3.07
Mg (0.4948, 0.4948, 0.6884)  3 Hg 2.87-3.18, 3 Mg 3.07-3.18
Mg (0.5052, 0.5052, 0.3116)  3 Hg 2.87-3.18, 3 Mg 3.07-3.18
Mg (0.6690, 0.6690, 0.0184)  4 Hg 2.84-3.06, 1 Mg 3.07
Mg (0.8467, 0.8467, 0.5731)  3 Hg 2.91-3.03, 1 Mg 3.21
Hg (0.1284, 0.1284, 0.8457)  6 Mg 2.90-3.18
Hg (0.3441, 0.3441, 0.7189)  5 Mg 2.84-3.03
Hg (0.6559, 0.6559, 0.2811)  5 Mg 2.84-3.03
Hg (0.8716, 0.8716, 0.1543)  6 Mg 2.90-3.18


VASP calculation (GGA-PBE) on a geometry-optimized Ac2Mg12Hg5 structure.

Results
- crystal system = trigonal

Cell lengths 7.7986, 7.7986, 7.7986 Å; angles 83.10, 83.10, 83.10 degrees
Last column: nearest neighbours and their distance in Å.
Positions (direct):
Ac (0.1661, 0.1661, 0.1661)  4 Hg 3.55-3.91, 12 Mg 3.65-3.80
Ac (0.8339, 0.8339, 0.8339)  4 Hg 3.55-3.91, 12 Mg 3.65-3.80
Mg (0.1539, 0.1539, 0.6555)  3 Hg 3.00-3.24, 6 Mg 3.00-3.13
Mg (0.1539, 0.6555, 0.1539)  3 Hg 3.00-3.24, 6 Mg 3.00-3.13
Mg (0.2031, 0.5000, 0.7969)  2 Hg 2.96, 6 Mg 3.07-3.13
Mg (0.2031, 0.7969, 0.5000)  2 Hg 2.96, 6 Mg 3.07-3.13
Mg (0.3445, 0.8461, 0.8461)  3 Hg 3.00-3.24, 6 Mg 3.00-3.13
Mg (0.5000, 0.2031, 0.7969)  2 Hg 2.96, 6 Mg 3.07-3.13
Mg (0.5000, 0.7969, 0.2031)  2 Hg 2.96, 6 Mg 3.07-3.13
Mg (0.6555, 0.1539, 0.1539)  3 Hg 3.00-3.24, 6 Mg 3.00-3.13
Mg (0.7969, 0.2031, 0.5000)  2 Hg 2.96, 6 Mg 3.07-3.13
Mg (0.7969, 0.5000, 0.2031)  2 Hg 2.96, 6 Mg 3.07-3.13
Mg (0.8461, 0.3445, 0.8461)  3 Hg 3.00-3.24, 6 Mg 3.00-3.13
Mg (0.8461, 0.8461, 0.3445)  3 Hg 3.00-3.24, 6 Mg 3.00-3.13
Hg (0.0000, 0.5000, 0.5000)  8 Mg 2.96-3.00, 2 Hg 3.16
Hg (0.4022, 0.4022, 0.4022)  4 Hg 2.94-3.16, 3 Mg 3.24
Hg (0.5000, 0.0000, 0.5000)  8 Mg 2.96-3.00, 2 Hg 3.16
Hg (0.5000, 0.5000, 0.0000)  8 Mg 2.96-3.00, 2 Hg 3.16
Hg (0.5978, 0.5978, 0.5978)  4 Hg 2.94-3.16, 3 Mg 3.24


no.,VASP energy (eV per atom),energy of formation from the pure elements (eV/atom)
1,-2.07,-0.307
2,-1.72,-0.200